(1)
Entry from Alexandria: crystalline AcPr3Tl3 at its relaxed geometry (GGA-PBE).

Unit cell a=10.008 b=10.008 c=5.409 alpha=90.00 beta=90.00 gamma=120.00
Element x y z (fractional)
Ac1 0.333 0.667 0.250
Ac2 0.667 0.333 0.750
Pr1 0.007 0.764 0.750
Pr2 0.236 0.243 0.750
Pr3 0.243 0.007 0.250
Pr4 0.757 0.993 0.750
Pr5 0.764 0.757 0.250
Pr6 0.993 0.236 0.250
Tl1 0.064 0.445 0.750
Tl2 0.381 0.936 0.750
Tl3 0.445 0.381 0.250
Tl4 0.555 0.619 0.750
Tl5 0.619 0.064 0.250
Tl6 0.936 0.555 0.250

Output
Raw total energy: -3.92 eV/atom
Crystal system: hexagonal
Space group: P6_3/m, No. 176
Energy above the lowest structure with this stoichiometry: 10 meV/atom
Calculated density: 8.939 g/cm3
Fermi-level density of states: 6.766 states/eV/f.u.
ΔH_f (0 K): -0.270 eV per atom

=====

(2)
Entry from Alexandria: crystalline Ac2Pr3Tl3 at its relaxed geometry (GGA-PBE).

Unit cell a=4.028 b=5.687 c=24.040 alpha=90.00 beta=90.00 gamma=90.00
Element x y z (fractional)
Ac1 0.000 0.000 0.228
Ac2 0.000 0.000 0.772
Ac3 0.500 0.500 0.272
Ac4 0.500 0.500 0.728
Pr1 0.000 0.000 0.000
Pr2 0.000 0.500 0.118
Pr3 0.000 0.500 0.882
Pr4 0.500 0.000 0.382
Pr5 0.500 0.000 0.618
Pr6 0.500 0.500 0.500
Tl1 0.000 0.000 0.500
Tl2 0.000 0.500 0.388
Tl3 0.000 0.500 0.612
Tl4 0.500 0.000 0.112
Tl5 0.500 0.000 0.888
Tl6 0.500 0.500 0.000

Output
Raw total energy: -3.94 eV/atom
Crystal system: orthorhombic
Space group: Immm, No. 71
Calculated density: 8.984 g/cm3
Fermi-level density of states: 8.243 states/eV/f.u.
ΔH_f (0 K): -0.236 eV per atom

=====

(3)
Entry from Alexandria: crystalline Ac4PrTl at its relaxed geometry (GGA-PBE).

Unit cell a=7.171 b=7.171 c=7.171 alpha=60.00 beta=60.00 gamma=60.00
Element x y z (fractional)
Ac1 0.125 0.125 0.125
Ac2 0.125 0.125 0.626
Ac3 0.125 0.626 0.125
Ac4 0.626 0.125 0.125
Pr1 0.500 0.500 0.500
Tl1 0.750 0.750 0.750

Output
Raw total energy: -3.61 eV/atom
Crystal system: cubic
Space group: F-43m, No. 216
Energy above the lowest structure with this stoichiometry: 412 meV/atom
Calculated density: 7.982 g/cm3
Fermi-level density of states: 6.909 states/eV/f.u.
ΔH_f (0 K): 0.318 eV per atom

=====

(4)
Entry from Alexandria: crystalline Ac3PrTl2 at its relaxed geometry (GGA-PBE).

Unit cell a=10.260 b=10.260 c=10.260 alpha=139.37 beta=58.96 gamma=139.18
Element x y z (fractional)
Ac1 0.179 0.746 0.925
Ac2 0.250 0.250 0.000
Ac3 0.321 0.246 0.568
Ac4 0.679 0.754 0.432
Ac5 0.750 0.750 0.000
Ac6 0.821 0.254 0.075
Pr1 0.250 0.750 0.500
Pr2 0.750 0.250 0.500
Tl1 0.133 0.258 0.391
Tl2 0.367 0.758 0.125
Tl3 0.633 0.242 0.875
Tl4 0.867 0.742 0.609

Output
Raw total energy: -3.86 eV/atom
Crystal system: orthorhombic
Space group: Ibam, No. 72
Energy above the lowest structure with this stoichiometry: 0 meV/atom
Calculated density: 8.974 g/cm3
Fermi-level density of states: 8.387 states/eV/f.u.
ΔH_f (0 K): -0.222 eV per atom

=====

(5)
Entry from Alexandria: crystalline Ac4PrTl3 at its relaxed geometry (GGA-PBE).

Unit cell a=3.937 b=3.937 c=18.963 alpha=90.00 beta=90.00 gamma=90.00
Element x y z (fractional)
Ac1 0.000 0.000 0.120
Ac2 0.000 0.000 0.358
Ac3 0.000 0.000 0.642
Ac4 0.000 0.000 0.880
Pr1 0.500 0.500 0.500
Tl1 0.500 0.500 0.000
Tl2 0.500 0.500 0.239
Tl3 0.500 0.500 0.761

Output
Raw total energy: -3.78 eV/atom
Crystal system: tetragonal
Space group: P4/mmm, No. 123
Calculated density: 9.390 g/cm3
Fermi-level density of states: 9.739 states/eV/f.u.
ΔH_f (0 K): -0.244 eV per atom

=====

(6)
Entry from Alexandria: crystalline Ac8Pr2Tl at its relaxed geometry (GGA-PBE).

Unit cell a=10.769 b=10.769 c=10.769 alpha=146.95 beta=135.59 gamma=56.46
Element x y z (fractional)
Ac1 0.130 0.363 0.767
Ac2 0.184 0.184 0.000
Ac3 0.252 0.000 0.252
Ac4 0.405 0.637 0.767
Ac5 0.595 0.363 0.233
Ac6 0.748 0.000 0.748
Ac7 0.816 0.816 0.000
Ac8 0.870 0.637 0.233
Pr1 0.310 0.810 0.500
Pr2 0.690 0.190 0.500
Tl1 0.000 0.500 0.500

Output
Raw total energy: -4.05 eV/atom
Crystal system: orthorhombic
Space group: Immm, No. 71
Calculated density: 8.079 g/cm3
Fermi-level density of states: 16.294 states/eV/f.u.
ΔH_f (0 K): 0.018 eV per atom

=====

Look up the ΔH_f (0 K) of the second one. -0.236 eV per atom

=====

Copy entry 4 word for word.
Entry from Alexandria: crystalline Ac3PrTl2 at its relaxed geometry (GGA-PBE).

Unit cell a=10.260 b=10.260 c=10.260 alpha=139.37 beta=58.96 gamma=139.18
Element x y z (fractional)
Ac1 0.179 0.746 0.925
Ac2 0.250 0.250 0.000
Ac3 0.321 0.246 0.568
Ac4 0.679 0.754 0.432
Ac5 0.750 0.750 0.000
Ac6 0.821 0.254 0.075
Pr1 0.250 0.750 0.500
Pr2 0.750 0.250 0.500
Tl1 0.133 0.258 0.391
Tl2 0.367 0.758 0.125
Tl3 0.633 0.242 0.875
Tl4 0.867 0.742 0.609

Output
Raw total energy: -3.86 eV/atom
Crystal system: orthorhombic
Space group: Ibam, No. 72
Energy above the lowest structure with this stoichiometry: 0 meV/atom
Calculated density: 8.974 g/cm3
Fermi-level density of states: 8.387 states/eV/f.u.
ΔH_f (0 K): -0.222 eV per atom

=====

Which value of Fermi-level density of states does entry 4 give? 8.387 states/eV/f.u.